No. 1
Entry from Alexandria via LeMat-Bulk: an optimized crystal structure of LaNd3Tm3 (PBE).

Results
- Formation energy: 0.187 eV per atom
- V: 34.9 Å³/atom
- Energy: -4.477 eV/atom
- Space group: No. 148

a = 8.973 Å, b = 8.973 Å, c = 8.973 Å
α = 58.11°, β = 58.11°, γ = 58.11°
Positions (direct):
1 La 0.155 0.155 0.155
2 La 0.845 0.845 0.845
3 Nd 0.068 0.220 0.571
4 Nd 0.220 0.571 0.068
5 Nd 0.429 0.932 0.780
6 Nd 0.571 0.068 0.220
7 Nd 0.780 0.429 0.932
8 Nd 0.932 0.780 0.429
9 Tm 0.218 0.436 0.670
10 Tm 0.330 0.782 0.564
11 Tm 0.436 0.670 0.218
12 Tm 0.564 0.330 0.782
13 Tm 0.670 0.218 0.436
14 Tm 0.782 0.564 0.330



No. 2
Entry from Alexandria via LeMat-Bulk: an optimized crystal structure of La2Nd3Tm (PBE).

Results
- Formation energy: 0.059 eV per atom
- V: 34.7 Å³/atom
- Energy: -4.713 eV/atom
- Space group: No. 58

a = 7.143 Å, b = 10.052 Å, c = 5.801 Å
α = 90.00°, β = 90.00°, γ = 90.00°
Positions (direct):
1 La 0.247 0.168 0.000
2 La 0.253 0.668 0.500
3 La 0.747 0.332 0.500
4 La 0.753 0.832 0.000
5 Nd 0.000 0.500 0.000
6 Nd 0.250 0.332 0.500
7 Nd 0.250 0.832 0.000
8 Nd 0.500 0.000 0.500
9 Nd 0.750 0.168 0.000
10 Nd 0.750 0.668 0.500
11 Tm 0.000 0.000 0.500
12 Tm 0.500 0.500 0.000



No. 3
Entry from Alexandria via LeMat-Bulk: an optimized crystal structure of La15Nd4Tm (PBE).

Results
- Formation energy: 0.010 eV per atom
- V: 36.0 Å³/atom
- Energy: -4.863 eV/atom
- Space group: No. 123

a = 5.235 Å, b = 5.235 Å, c = 26.274 Å
α = 90.00°, β = 90.00°, γ = 90.00°
Positions (direct):
1 La 0.000 0.000 0.000
2 La 0.000 0.000 0.199
3 La 0.000 0.000 0.400
4 La 0.000 0.000 0.600
5 La 0.000 0.000 0.801
6 La 0.000 0.500 0.098
7 La 0.000 0.500 0.299
8 La 0.000 0.500 0.500
9 La 0.000 0.500 0.701
10 La 0.000 0.500 0.902
11 La 0.500 0.000 0.098
12 La 0.500 0.000 0.299
13 La 0.500 0.000 0.500
14 La 0.500 0.000 0.701
15 La 0.500 0.000 0.902
16 Nd 0.500 0.500 0.199
17 Nd 0.500 0.500 0.399
18 Nd 0.500 0.500 0.601
19 Nd 0.500 0.500 0.801
20 Tm 0.500 0.500 0.000